Entry from the Alexandria database: a geometry-optimized DyEr2Sc2 structure (PBE-GGA).

Structure (extended XYZ):
```
20
Lattice="-2.7321 -1.0653 -5.1892 -5.4247 -2.5509 3.3797 -4.7557 12.9078 2.1091" Properties=species:S:1:pos:R:3 pbc="T T T"
Dy -4.4425 2.5823 0.0989
Dy -8.4701 6.7092 0.2008
Dy -4.4324 2.6968 -3.3531
Dy -8.4801 6.5948 3.6527
Er -4.1976 -0.3456 -1.7321
Er -1.4664 0.8290 0.0120
Er -11.4461 8.4626 0.2877
Er -8.7150 9.6372 2.0318
Er -7.1744 1.4023 -1.6748
Er -7.1455 1.3062 1.7529
Er -5.7670 7.9854 -1.4533
Er -5.7382 7.8892 1.9745
Sc -6.8945 -1.5983 -0.0257
Sc -4.1830 -0.4330 1.7306
Sc -8.7295 9.7246 -1.4310
Sc -6.0181 10.8899 0.3254
Sc -6.4591 4.6959 -1.5704
Sc -3.7385 5.8656 0.1802
Sc -9.1741 3.4260 0.1194
Sc -6.4534 4.5956 1.8701
```

Results
- Raw total energy: -5.2348 eV per atom
- Energy above the lowest structure with this stoichiometry: 0 meV per atom
- Calculated formation energy: 43.4 meV per atom
- Crystal system: monoclinic